No. 1
DFT (meta-GGA SCAN) results for La3SiAgS7 at its PBEsol-relaxed geometry.

Output
M_tot: 0.000 μB per cell
raw formation energy: -1.855 eV per atom
crystal system: hexagonal

a b c (Å): 10.306 10.306 5.755
angles (deg): 90.00 90.00 120.00
Fractional positions:
1 La 0.123 0.763 0.000
2 La 0.237 0.359 0.000
3 La 0.359 0.123 0.500
4 La 0.641 0.877 0.000
5 La 0.763 0.641 0.500
6 La 0.877 0.237 0.500
7 Si 0.333 0.667 0.414
8 Si 0.667 0.333 0.914
9 Ag 0.000 0.000 0.043
10 Ag 0.000 0.000 0.543
11 S 0.089 0.824 0.512
12 S 0.115 0.524 0.271
13 S 0.176 0.266 0.512
14 S 0.266 0.089 0.012
15 S 0.333 0.667 0.781
16 S 0.409 0.885 0.271
17 S 0.476 0.591 0.271
18 S 0.524 0.409 0.771
19 S 0.591 0.115 0.771
20 S 0.667 0.333 0.281
21 S 0.734 0.911 0.512
22 S 0.824 0.734 0.012
23 S 0.885 0.476 0.771
24 S 0.911 0.176 0.012

---

No. 2
DFT (meta-GGA SCAN) results for LaAg2Sb at its PBEsol-relaxed geometry.

Output
M_tot: 0.000 μB per cell
raw formation energy: -0.500 eV per atom
crystal system: trigonal

a b c (Å): 4.667 4.667 15.220
angles (deg): 90.00 90.00 120.00
Fractional positions:
1 La 0.000 0.000 0.000
2 La 0.333 0.667 0.667
3 La 0.667 0.333 0.333
4 Ag 0.000 0.000 0.224
5 Ag 0.000 0.000 0.497
6 Ag 0.333 0.667 0.164
7 Ag 0.333 0.667 0.891
8 Ag 0.667 0.333 0.557
9 Ag 0.667 0.333 0.831
10 Sb 0.000 0.000 0.783
11 Sb 0.333 0.667 0.450
12 Sb 0.667 0.333 0.117

---

No. 3
DFT (meta-GGA SCAN) results for LaAgSb2 at its PBEsol-relaxed geometry.

Output
M_tot: 0.000 μB per cell
raw formation energy: -0.835 eV per atom
excess energy over the best structure of this formula in the dataset: 0 meV per atom
crystal system: tetragonal

a b c (Å): 4.373 4.373 10.662
angles (deg): 90.00 90.00 90.00
Fractional positions:
1 La 0.250 0.250 0.241
2 La 0.750 0.750 0.759
3 Ag 0.250 0.750 0.500
4 Ag 0.750 0.250 0.500
5 Sb 0.250 0.250 0.670
6 Sb 0.250 0.750 0.000
7 Sb 0.750 0.250 0.000
8 Sb 0.750 0.750 0.330

---

No. 4
DFT (meta-GGA SCAN) results for La2AgSb at its PBEsol-relaxed geometry.

Output
M_tot: 0.808 μB per cell
raw formation energy: -0.770 eV per atom
crystal system: tetragonal

a b c (Å): 5.231 5.231 4.050
angles (deg): 90.00 90.00 90.00
Fractional positions:
1 La 0.000 0.500 0.000
2 La 0.500 0.000 0.000
3 Ag 0.000 0.000 0.500
4 Sb 0.500 0.500 0.500

---

No. 5
DFT (meta-GGA SCAN) results for LaAg3Sb at its PBEsol-relaxed geometry.

Output
M_tot: 0.000 μB per cell
raw formation energy: 0.186 eV per atom
crystal system: cubic

a b c (Å): 5.105 5.105 5.105
angles (deg): 90.00 90.00 90.00
Fractional positions:
1 La 0.000 0.000 0.000
2 Ag 0.000 0.500 0.500
3 Ag 0.500 0.000 0.500
4 Ag 0.500 0.500 0.000
5 Sb 0.500 0.500 0.500

---

No. 6
DFT (meta-GGA SCAN) results for LaAgSb2 at its PBEsol-relaxed geometry.

Output
M_tot: 0.000 μB per cell
raw formation energy: -0.189 eV per atom
excess energy over the best structure of this formula in the dataset: 645 meV per atom
crystal system: tetragonal

a b c (Å): 3.386 3.386 9.061
angles (deg): 90.00 90.00 90.00
Fractional positions:
1 La 0.000 0.000 0.000
2 Ag 0.500 0.500 0.756
3 Sb 0.000 0.000 0.571
4 Sb 0.500 0.500 0.258

---

Please write out number 1 again, unchanged.
DFT (meta-GGA SCAN) results for La3SiAgS7 at its PBEsol-relaxed geometry.

Output
M_tot: 0.000 μB per cell
raw formation energy: -1.855 eV per atom
crystal system: hexagonal

a b c (Å): 10.306 10.306 5.755
angles (deg): 90.00 90.00 120.00
Fractional positions:
1 La 0.123 0.763 0.000
2 La 0.237 0.359 0.000
3 La 0.359 0.123 0.500
4 La 0.641 0.877 0.000
5 La 0.763 0.641 0.500
6 La 0.877 0.237 0.500
7 Si 0.333 0.667 0.414
8 Si 0.667 0.333 0.914
9 Ag 0.000 0.000 0.043
10 Ag 0.000 0.000 0.543
11 S 0.089 0.824 0.512
12 S 0.115 0.524 0.271
13 S 0.176 0.266 0.512
14 S 0.266 0.089 0.012
15 S 0.333 0.667 0.781
16 S 0.409 0.885 0.271
17 S 0.476 0.591 0.271
18 S 0.524 0.409 0.771
19 S 0.591 0.115 0.771
20 S 0.667 0.333 0.281
21 S 0.734 0.911 0.512
22 S 0.824 0.734 0.012
23 S 0.885 0.476 0.771
24 S 0.911 0.176 0.012